Record 1
This record from Alexandria describes crystalline KZnPt at its relaxed geometry. The functional is PBE. Values from VASP.

The structure in Quantum ESPRESSO input format:
```
&SYSTEM
  ibrav = 0, nat = 3, ntyp = 3
/
ATOMIC_SPECIES
K 39.10 K.upf
Zn 65.41 Zn.upf
Pt 195.08 Pt.upf
ATOMIC_POSITIONS crystal
K 0.0000 0.0000 0.0000
Zn 0.3333 0.6667 0.5000
Pt 0.6667 0.3333 0.5000
CELL_PARAMETERS angstrom
4.2964 0.0000 0.0000
-2.1482 3.7208 0.0000
0.0000 0.0000 5.0117
```

ΔE to the lowest computed polymorph: 0.251 eV per formula unit
energy of formation: -0.190 eV/atom
total magnetization: 0.000 μB/atom

=====

Record 2
This record from Alexandria describes crystalline Nd6Sn3C at its relaxed geometry. The functional is PBE. Values from VASP.

The structure in Quantum ESPRESSO input format:
```
&SYSTEM
  ibrav = 0, nat = 20, ntyp = 3
/
ATOMIC_SPECIES
Nd 144.24 Nd.upf
Sn 118.71 Sn.upf
C 12.01 C.upf
ATOMIC_POSITIONS crystal
Nd 0.1023 0.0468 0.2274
Nd 0.1023 0.4532 0.7274
Nd 0.1715 0.7156 0.0554
Nd 0.1715 0.7844 0.5554
Nd 0.3870 0.1491 0.0524
Nd 0.3870 0.3509 0.5524
Nd 0.6130 0.6491 0.4476
Nd 0.6130 0.8509 0.9476
Nd 0.8285 0.2156 0.4446
Nd 0.8285 0.2844 0.9446
Nd 0.8977 0.5468 0.2726
Nd 0.8977 0.9532 0.7726
Sn 0.3270 0.1066 0.7377
Sn 0.3270 0.3934 0.2377
Sn 0.5000 0.0000 0.5000
Sn 0.5000 0.5000 0.0000
Sn 0.6730 0.6066 0.7623
Sn 0.6730 0.8934 0.2623
C 0.0000 0.0000 0.0000
C 0.0000 0.5000 0.5000
CELL_PARAMETERS angstrom
6.5037 0.0000 0.0000
0.0000 8.5054 0.0000
-6.0980 0.0000 10.8208
```

energy of formation: -0.475 eV/atom
total magnetization: 0.000 μB/atom

=====

Record 3
This record from Alexandria describes crystalline Rb2ScRu2 at its relaxed geometry. The functional is PBE. Values from VASP.

The structure in Quantum ESPRESSO input format:
```
&SYSTEM
  ibrav = 0, nat = 5, ntyp = 3
/
ATOMIC_SPECIES
Rb 85.47 Rb.upf
Sc 44.96 Sc.upf
Ru 101.07 Ru.upf
ATOMIC_POSITIONS crystal
Rb 0.1422 0.1422 0.0000
Rb 0.8578 0.8578 0.0000
Sc 0.5000 0.5000 0.0000
Ru 0.2500 0.7500 0.5000
Ru 0.7500 0.2500 0.5000
CELL_PARAMETERS angstrom
-2.6184 2.6184 4.9512
2.6184 -2.6184 4.9512
2.6184 2.6184 -4.9512
```

ΔE to the lowest computed polymorph: 1.581 eV per formula unit
energy of formation: 1.929 eV/atom
total magnetization: 0.344 μB/atom

=====

Record 4
This record from Alexandria describes crystalline ScTiCu at its relaxed geometry. The functional is PBE. Values from VASP.

The structure in Quantum ESPRESSO input format:
```
&SYSTEM
  ibrav = 0, nat = 6, ntyp = 3
/
ATOMIC_SPECIES
Sc 44.96 Sc.upf
Ti 47.87 Ti.upf
Cu 63.55 Cu.upf
ATOMIC_POSITIONS crystal
Sc 0.3333 0.6667 0.2500
Sc 0.6667 0.3333 0.7500
Ti 0.3333 0.6667 0.7500
Ti 0.6667 0.3333 0.2500
Cu 0.0000 0.0000 0.0000
Cu 0.0000 0.0000 0.5000
CELL_PARAMETERS angstrom
4.6424 0.0000 0.0000
-2.3212 4.0204 0.0000
0.0000 0.0000 5.4212
```

ΔE to the lowest computed polymorph: 1.126 eV per formula unit
energy of formation: 0.292 eV/atom
total magnetization: 0.504 μB/atom

=====

Record 5
This record from Alexandria describes crystalline Sn3Bi2Pb3 at its relaxed geometry. The functional is PBE. Values from VASP.

The structure in Quantum ESPRESSO input format:
```
&SYSTEM
  ibrav = 0, nat = 8, ntyp = 3
/
ATOMIC_SPECIES
Sn 118.71 Sn.upf
Bi 208.98 Bi.upf
Pb 207.20 Pb.upf
ATOMIC_POSITIONS crystal
Sn 0.0000 0.0000 0.0000
Sn 0.1129 0.1129 0.6146
Sn 0.8871 0.8871 0.3854
Bi 0.2314 0.2314 0.2347
Bi 0.7686 0.7686 0.7653
Pb 0.3698 0.3698 0.8743
Pb 0.5000 0.5000 0.5000
Pb 0.6302 0.6302 0.1257
CELL_PARAMETERS angstrom
10.7725 -2.6479 0.0000
10.7725 2.6479 0.0000
-0.8590 0.0000 4.2847
```

energy of formation: 0.048 eV/atom
total magnetization: 0.000 μB/atom

=====

Record 6
This record from Alexandria describes crystalline BaAl2BAu at its relaxed geometry. The functional is PBE. Values from VASP.

The structure in Quantum ESPRESSO input format:
```
&SYSTEM
  ibrav = 0, nat = 5, ntyp = 4
/
ATOMIC_SPECIES
Ba 137.33 Ba.upf
Al 26.98 Al.upf
B 10.81 B.upf
Au 196.97 Au.upf
ATOMIC_POSITIONS crystal
Ba 0.0000 0.0000 0.0000
Al 0.0000 0.5000 0.0000
Al 0.5000 0.0000 0.0000
B 0.5000 0.5000 0.5000
Au 0.0000 0.0000 0.5000
CELL_PARAMETERS angstrom
6.4128 0.0000 0.0000
0.0000 6.4128 0.0000
0.0000 0.0000 5.9228
```

energy of formation: 2.086 eV/atom
total magnetization: 0.316 μB/atom

=====

Record 7
This record from Alexandria describes crystalline Y2AlCo3 at its relaxed geometry. The functional is PBE. Values from VASP.

The structure in Quantum ESPRESSO input format:
```
&SYSTEM
  ibrav = 0, nat = 6, ntyp = 3
/
ATOMIC_SPECIES
Y 88.91 Y.upf
Al 26.98 Al.upf
Co 58.93 Co.upf
ATOMIC_POSITIONS crystal
Y 0.1283 0.1283 0.1283
Y 0.8717 0.8717 0.8717
Al 0.5000 0.5000 0.5000
Co 0.0000 0.5000 0.5000
Co 0.5000 0.0000 0.5000
Co 0.5000 0.5000 0.0000
CELL_PARAMETERS angstrom
2.6688 1.5408 3.9194
-2.6688 1.5408 3.9194
0.0000 -3.0817 3.9194
```

ΔE to the lowest computed polymorph: 0.055 eV per formula unit
energy of formation: -0.288 eV/atom
total magnetization: 0.041 μB/atom

=====

Record 8
This record from Alexandria describes crystalline La2CeAs3Pt4 at its relaxed geometry. The functional is PBE. Values from VASP.

The structure in Quantum ESPRESSO input format:
```
&SYSTEM
  ibrav = 0, nat = 10, ntyp = 4
/
ATOMIC_SPECIES
La 138.91 La.upf
Ce 140.12 Ce.upf
As 74.92 As.upf
Pt 195.08 Pt.upf
ATOMIC_POSITIONS crystal
La 0.0000 0.5000 0.2158
La 0.5000 0.0000 0.7842
Ce 0.0000 0.0000 0.5000
As 0.0000 0.5000 0.8772
As 0.5000 0.0000 0.1228
As 0.5000 0.5000 0.5000
Pt 0.0000 0.0000 0.0000
Pt 0.0000 0.5000 0.6616
Pt 0.5000 0.0000 0.3384
Pt 0.5000 0.5000 0.0000
CELL_PARAMETERS angstrom
4.3609 0.0000 0.0000
0.0000 4.3609 0.0000
0.0000 0.0000 11.4357
```

energy of formation: -0.965 eV/atom
total magnetization: 0.075 μB/atom

=====

Record 9
This record from Alexandria describes crystalline In2FeB2Ir5 at its relaxed geometry. The functional is PBE. Values from VASP.

The structure in Quantum ESPRESSO input format:
```
&SYSTEM
  ibrav = 0, nat = 20, ntyp = 4
/
ATOMIC_SPECIES
In 114.82 In.upf
Fe 55.84 Fe.upf
B 10.81 B.upf
Ir 192.22 Ir.upf
ATOMIC_POSITIONS crystal
In 0.1792 0.3208 0.0000
In 0.3208 0.8208 0.0000
In 0.6792 0.1792 0.0000
In 0.8208 0.6792 0.0000
Fe 0.0000 0.0000 0.0000
Fe 0.5000 0.5000 0.0000
B 0.1252 0.6252 0.0000
B 0.3748 0.1252 0.0000
B 0.6252 0.8748 0.0000
B 0.8748 0.3748 0.0000
Ir 0.0000 0.5000 0.5000
Ir 0.0682 0.7823 0.5000
Ir 0.2177 0.0682 0.5000
Ir 0.2823 0.5682 0.5000
Ir 0.4318 0.2823 0.5000
Ir 0.5000 0.0000 0.5000
Ir 0.5682 0.7177 0.5000
Ir 0.7177 0.4318 0.5000
Ir 0.7823 0.9318 0.5000
Ir 0.9318 0.2177 0.5000
CELL_PARAMETERS angstrom
9.6760 0.0000 0.0000
0.0000 9.6760 0.0000
0.0000 0.0000 2.9552
```

energy of formation: -0.095 eV/atom
total magnetization: 0.394 μB/atom

=====

Record 10
This record from Alexandria describes crystalline ScTl3Pb at its relaxed geometry. The functional is PBE. Values from VASP.

The structure in Quantum ESPRESSO input format:
```
&SYSTEM
  ibrav = 0, nat = 5, ntyp = 3
/
ATOMIC_SPECIES
Sc 44.96 Sc.upf
Tl 204.38 Tl.upf
Pb 207.20 Pb.upf
ATOMIC_POSITIONS crystal
Sc 0.0000 0.0000 0.0000
Tl 0.0000 0.5000 0.5000
Tl 0.5000 0.0000 0.5000
Tl 0.5000 0.5000 0.0000
Pb 0.5000 0.5000 0.5000
CELL_PARAMETERS angstrom
5.8495 0.0000 0.0000
0.0000 5.8495 0.0000
0.0000 0.0000 5.8495
```

ΔE to the lowest computed polymorph: 1.826 eV per formula unit
energy of formation: 0.715 eV/atom
total magnetization: 0.000 μB/atom

=====

Record 11
This record from Alexandria describes crystalline Y2TmAg6 at its relaxed geometry. The functional is PBE. Values from VASP.

The structure in Quantum ESPRESSO input format:
```
&SYSTEM
  ibrav = 0, nat = 9, ntyp = 3
/
ATOMIC_SPECIES
Y 88.91 Y.upf
Tm 168.93 Tm.upf
Ag 107.87 Ag.upf
ATOMIC_POSITIONS crystal
Y 0.1647 0.8353 0.0000
Y 0.8353 0.1647 0.0000
Tm 0.0000 0.0000 0.5000
Ag 0.1683 0.4983 0.6637
Ag 0.3402 0.3402 0.1781
Ag 0.4983 0.1683 0.6637
Ag 0.5017 0.8317 0.3363
Ag 0.6598 0.6598 0.8219
Ag 0.8317 0.5017 0.3363
CELL_PARAMETERS angstrom
2.6484 -8.0371 0.0000
2.6484 8.0371 0.0000
-2.6228 0.0000 4.6089
```

energy of formation: -0.260 eV/atom
total magnetization: 0.000 μB/atom

=====

Record 12
This record from Alexandria describes crystalline CoTcAs3 at its relaxed geometry. The functional is PBE. Values from VASP.

The structure in Quantum ESPRESSO input format:
```
&SYSTEM
  ibrav = 0, nat = 5, ntyp = 3
/
ATOMIC_SPECIES
Co 58.93 Co.upf
Tc 98.00 Tc.upf
As 74.92 As.upf
ATOMIC_POSITIONS crystal
Co 0.0000 0.0000 0.0000
Tc 0.5000 0.5000 0.5000
As 0.0000 0.0000 0.5000
As 0.0000 0.5000 0.0000
As 0.5000 0.0000 0.0000
CELL_PARAMETERS angstrom
4.5120 0.0000 0.0000
0.0000 4.5120 0.0000
0.0000 0.0000 4.5120
```

ΔE to the lowest computed polymorph: 0.000 eV per formula unit
energy of formation: 0.785 eV/atom
total magnetization: 0.346 μB/atom

=====

Record 13
This record from Alexandria describes crystalline TiV5Re4 at its relaxed geometry. The functional is PBE. Values from VASP.

The structure in Quantum ESPRESSO input format:
```
&SYSTEM
  ibrav = 0, nat = 10, ntyp = 3
/
ATOMIC_SPECIES
Ti 47.87 Ti.upf
V 50.94 V.upf
Re 186.21 Re.upf
ATOMIC_POSITIONS crystal
Ti 0.0000 0.0000 0.0000
V 0.5000 0.5000 0.1077
V 0.5000 0.5000 0.3030
V 0.5000 0.5000 0.5000
V 0.5000 0.5000 0.6970
V 0.5000 0.5000 0.8923
Re 0.0000 0.0000 0.2024
Re 0.0000 0.0000 0.4012
Re 0.0000 0.0000 0.5988
Re 0.0000 0.0000 0.7976
CELL_PARAMETERS angstrom
3.0428 0.0000 0.0000
0.0000 3.0428 0.0000
0.0000 0.0000 15.3640
```

energy of formation: -0.304 eV/atom
total magnetization: 0.000 μB/atom

=====

Record 14
This record from Alexandria describes crystalline Cr2CoRhN at its relaxed geometry. The functional is PBE. Values from VASP.

The structure in Quantum ESPRESSO input format:
```
&SYSTEM
  ibrav = 0, nat = 5, ntyp = 4
/
ATOMIC_SPECIES
Cr 52.00 Cr.upf
Co 58.93 Co.upf
Rh 102.91 Rh.upf
N 14.01 N.upf
ATOMIC_POSITIONS crystal
Cr 0.0000 0.5000 0.0000
Cr 0.5000 0.0000 0.0000
Co 0.0000 0.0000 0.5000
Rh 0.5000 0.5000 0.5000
N 0.0000 0.0000 0.0000
CELL_PARAMETERS angstrom
3.8268 0.0000 0.0000
0.0000 3.8268 0.0000
0.0000 0.0000 3.7720
```

total magnetization: 0.299 μB/atom

=====

Record 15
This record from Alexandria describes crystalline Na3Hg8Pd3 at its relaxed geometry. The functional is PBE. Values from VASP.

The structure in Quantum ESPRESSO input format:
```
&SYSTEM
  ibrav = 0, nat = 14, ntyp = 3
/
ATOMIC_SPECIES
Na 22.99 Na.upf
Hg 200.59 Hg.upf
Pd 106.42 Pd.upf
ATOMIC_POSITIONS crystal
Na 0.0000 0.0000 0.0000
Na 0.2958 0.2958 0.0000
Na 0.7042 0.7042 0.0000
Hg 0.0032 0.3674 0.6358
Hg 0.1677 0.8670 0.3007
Hg 0.2684 0.6326 0.6358
Hg 0.4337 0.1330 0.3007
Hg 0.5663 0.8670 0.6993
Hg 0.7316 0.3674 0.3642
Hg 0.8323 0.1330 0.6993
Hg 0.9968 0.6326 0.3642
Pd 0.3574 0.5000 0.8574
Pd 0.5000 0.0000 0.5000
Pd 0.6426 0.5000 0.1426
CELL_PARAMETERS angstrom
-2.3469 5.4439 6.3414
2.3469 -5.4439 6.3414
2.3469 5.4439 -6.3414
```

energy of formation: -0.172 eV/atom
total magnetization: 0.000 μB/atom

=====

Record 16
This record from Alexandria describes crystalline Dy2HfMgN4 at its relaxed geometry. The functional is PBE. Values from VASP.

The structure in Quantum ESPRESSO input format:
```
&SYSTEM
  ibrav = 0, nat = 8, ntyp = 4
/
ATOMIC_SPECIES
Dy 162.50 Dy.upf
Hf 178.49 Hf.upf
Mg 24.30 Mg.upf
N 14.01 N.upf
ATOMIC_POSITIONS crystal
Dy 0.0000 0.0000 0.0000
Dy 0.0000 0.5000 0.5000
Hf 0.5000 0.0000 0.5000
Mg 0.5000 0.5000 0.0000
N 0.2634 0.0000 0.7417
N 0.2678 0.5000 0.2643
N 0.7322 0.5000 0.7357
N 0.7366 0.0000 0.2583
CELL_PARAMETERS angstrom
5.7461 0.0000 0.0000
0.0000 3.3422 0.0000
-1.9046 0.0000 5.4376
```

total magnetization: 0.000 μB/atom

=====

Record 17
This record from Alexandria describes crystalline Cr2AgHg at its relaxed geometry. The functional is PBE. Values from VASP.

The structure in Quantum ESPRESSO input format:
```
&SYSTEM
  ibrav = 0, nat = 8, ntyp = 3
/
ATOMIC_SPECIES
Cr 52.00 Cr.upf
Ag 107.87 Ag.upf
Hg 200.59 Hg.upf
ATOMIC_POSITIONS crystal
Cr 0.1206 0.6250 0.9956
Cr 0.3750 0.3706 0.4956
Cr 0.6294 0.1250 0.0044
Cr 0.8750 0.8794 0.5044
Ag 0.0000 0.0000 0.0000
Ag 0.7500 0.2500 0.5000
Hg 0.2500 0.7500 0.5000
Hg 0.5000 0.5000 0.0000
CELL_PARAMETERS angstrom
-3.7573 3.7573 2.9091
3.7573 -3.7573 2.9091
3.7573 3.7573 -2.9091
```

energy of formation: 0.868 eV/atom
total magnetization: 2.232 μB/atom

=====

Record 18
This record from Alexandria describes crystalline Mg2SbRh at its relaxed geometry. The functional is PBE. Values from VASP.

The structure in Quantum ESPRESSO input format:
```
&SYSTEM
  ibrav = 0, nat = 4, ntyp = 3
/
ATOMIC_SPECIES
Mg 24.30 Mg.upf
Sb 121.76 Sb.upf
Rh 102.91 Rh.upf
ATOMIC_POSITIONS crystal
Mg 0.2500 0.7500 0.5000
Mg 0.7500 0.2500 0.5000
Sb 0.0000 0.0000 0.0000
Rh 0.5000 0.5000 0.0000
CELL_PARAMETERS angstrom
-2.0666 2.0666 4.3076
2.0666 -2.0666 4.3076
2.0666 2.0666 -4.3076
```

total magnetization: 0.000 μB/atom

=====

Record 19
This record from Alexandria describes crystalline Pm2SmPu at its relaxed geometry. The functional is PBE. Values from VASP.

The structure in Quantum ESPRESSO input format:
```
&SYSTEM
  ibrav = 0, nat = 4, ntyp = 3
/
ATOMIC_SPECIES
Pm 145.00 Pm.upf
Sm 150.36 Sm.upf
Pu 244.00 Pu.upf
ATOMIC_POSITIONS crystal
Pm 0.0000 0.5000 0.0000
Pm 0.5000 0.0000 0.0000
Sm 0.0000 0.0000 0.5000
Pu 0.5000 0.5000 0.5000
CELL_PARAMETERS angstrom
5.0657 0.0000 0.0000
0.0000 5.0657 0.0000
0.0000 0.0000 5.0559
```

ΔE to the lowest computed polymorph: 0.155 eV per formula unit
energy of formation: 0.152 eV/atom
total magnetization: 1.574 μB/atom

=====

Record 20
This record from Alexandria describes crystalline K3ScCd at its relaxed geometry. The functional is PBE. Values from VASP.

The structure in Quantum ESPRESSO input format:
```
&SYSTEM
  ibrav = 0, nat = 5, ntyp = 3
/
ATOMIC_SPECIES
K 39.10 K.upf
Sc 44.96 Sc.upf
Cd 112.41 Cd.upf
ATOMIC_POSITIONS crystal
K 0.0000 0.0000 0.5000
K 0.0000 0.5000 0.0000
K 0.5000 0.0000 0.0000
Sc 0.5000 0.5000 0.5000
Cd 0.0000 0.0000 0.0000
CELL_PARAMETERS angstrom
6.5729 0.0000 0.0000
0.0000 6.5729 0.0000
0.0000 0.0000 6.5729
```

ΔE to the lowest computed polymorph: 0.000 eV per formula unit
energy of formation: 0.653 eV/atom
total magnetization: 0.298 μB/atom

=====

Fermi-level density of states list, top to bottom, in states/eV/cell: 1.1; 16.1; 7.3; 6.7; 3.8; 7.5; 6.7; 7.8; 5.8; 4.7; 4.9; 5.7; 7.1; 5.7; 4.6; 0.5; 3.9; 2.0; 16.2; 13.7
Energy list, top to bottom, in eV/atom: -2.99; -5.46; -3.43; -5.82; -3.81; -1.79; -6.62; -6.36; -7.25; -2.71; -4.09; -5.50; -10.63; -8.56; -1.74; -8.26; -4.73; -3.99; -6.99; -1.45